A.
A plane-wave DFT calculation with PBE was carried out for BaScAs2Se after structural relaxation.

Structure (CIF):
```
data_BaScAs2Se
_symmetry_space_group_name_H-M 'P 1'
_symmetry_Int_Tables_number 1
_cell_length_a 5.5487
_cell_length_b 5.5487
_cell_length_c 5.8103
_cell_angle_alpha 90.00
_cell_angle_beta 90.00
_cell_angle_gamma 90.00
loop_
_symmetry_equiv_pos_as_xyz
'x,y,z'
loop_
_atom_site_label
_atom_site_type_symbol
_atom_site_fract_x
_atom_site_fract_y
_atom_site_fract_z
As1 As 0.5000 0.0000 0.0000
As2 As 0.0000 0.5000 0.0000
Sc1 Sc 0.5000 0.5000 0.5000
Ba1 Ba 0.0000 0.0000 0.0000
Se1 Se 0.0000 0.0000 0.5000
```

Summary:
space group: No. 123

---

B.
A plane-wave DFT calculation with PBE was carried out for BaScAs2Se after structural relaxation.

Structure (CIF):
```
data_BaScAs2Se
_symmetry_space_group_name_H-M 'P 1'
_symmetry_Int_Tables_number 1
_cell_length_a 5.1796
_cell_length_b 5.1796
_cell_length_c 5.3107
_cell_angle_alpha 90.00
_cell_angle_beta 90.00
_cell_angle_gamma 90.00
loop_
_symmetry_equiv_pos_as_xyz
'x,y,z'
loop_
_atom_site_label
_atom_site_type_symbol
_atom_site_fract_x
_atom_site_fract_y
_atom_site_fract_z
Ba1 Ba 0.5000 0.5000 0.5000
As1 As 0.5000 0.0000 0.0000
As2 As 0.0000 0.5000 0.0000
Se1 Se 0.0000 0.0000 0.5000
Sc1 Sc 0.0000 0.0000 0.0000
```

Summary:
space group: No. 123

---

Short version: A is the least stable of them.

---

A.
A plane-wave DFT calculation with PBE was carried out for Ba2AsSe2 after structural relaxation.

Structure (CIF):
```
data_Ba2AsSe2
_symmetry_space_group_name_H-M 'P 1'
_symmetry_Int_Tables_number 1
_cell_length_a 6.3268
_cell_length_b 6.3268
_cell_length_c 6.1526
_cell_angle_alpha 59.06
_cell_angle_beta 59.06
_cell_angle_gamma 90.00
loop_
_symmetry_equiv_pos_as_xyz
'x,y,z'
loop_
_atom_site_label
_atom_site_type_symbol
_atom_site_fract_x
_atom_site_fract_y
_atom_site_fract_z
Se1 Se 0.6708 0.6708 0.6585
Se2 Se 0.3292 0.3292 0.3415
Ba1 Ba 0.2500 0.7500 0.5000
Ba2 Ba 0.7500 0.2500 0.5000
As1 As 0.0000 0.0000 0.0000
```

Summary:
space group: No. 139

---

B.
A plane-wave DFT calculation with PBE was carried out for Ba2AsSe2 after structural relaxation.

Structure (CIF):
```
data_Ba2AsSe2
_symmetry_space_group_name_H-M 'P 1'
_symmetry_Int_Tables_number 1
_cell_length_a 8.3530
_cell_length_b 8.3530
_cell_length_c 4.5131
_cell_angle_alpha 90.00
_cell_angle_beta 90.00
_cell_angle_gamma 90.00
loop_
_symmetry_equiv_pos_as_xyz
'x,y,z'
loop_
_atom_site_label
_atom_site_type_symbol
_atom_site_fract_x
_atom_site_fract_y
_atom_site_fract_z
As1 As 0.5000 0.5000 0.0000
As2 As 0.0000 0.0000 0.0000
Ba1 Ba 0.1594 0.6594 0.5000
Ba2 Ba 0.6594 0.8406 0.5000
Ba3 Ba 0.8406 0.3406 0.5000
Ba4 Ba 0.3406 0.1594 0.5000
Se1 Se 0.3427 0.8427 0.0000
Se2 Se 0.8427 0.6573 0.0000
Se3 Se 0.6573 0.1573 0.0000
Se4 Se 0.1573 0.3427 0.0000
```

Summary:
space group: No. 127

---

Short version: A is the least stable of them.

---

A.
A plane-wave DFT calculation with PBE was carried out for BaAsSe after structural relaxation.

Structure (CIF):
```
data_BaAsSe
_symmetry_space_group_name_H-M 'P 1'
_symmetry_Int_Tables_number 1
_cell_length_a 4.5918
_cell_length_b 9.4207
_cell_length_c 10.7539
_cell_angle_alpha 64.92
_cell_angle_beta 90.00
_cell_angle_gamma 90.00
loop_
_symmetry_equiv_pos_as_xyz
'x,y,z'
loop_
_atom_site_label
_atom_site_type_symbol
_atom_site_fract_x
_atom_site_fract_y
_atom_site_fract_z
Ba1 Ba 0.7470 0.9587 0.3178
Ba2 Ba 0.2530 0.0413 0.6822
Ba3 Ba 0.2470 0.5413 0.6822
Ba4 Ba 0.7530 0.4587 0.3178
As1 As 0.6797 0.0891 0.9617
As2 As 0.3203 0.9109 0.0383
As3 As 0.8203 0.5891 0.9617
As4 As 0.1797 0.4109 0.0383
Se1 Se 0.2475 0.6981 0.3422
Se2 Se 0.7475 0.8019 0.6578
Se3 Se 0.7525 0.3019 0.6578
Se4 Se 0.2525 0.1981 0.3422
```

Summary:
space group: No. 14

---

B.
A plane-wave DFT calculation with PBE was carried out for BaAsSe after structural relaxation.

Structure (CIF):
```
data_BaAsSe
_symmetry_space_group_name_H-M 'P 1'
_symmetry_Int_Tables_number 1
_cell_length_a 4.7965
_cell_length_b 4.7965
_cell_length_c 4.4316
_cell_angle_alpha 90.00
_cell_angle_beta 90.00
_cell_angle_gamma 120.00
loop_
_symmetry_equiv_pos_as_xyz
'x,y,z'
loop_
_atom_site_label
_atom_site_type_symbol
_atom_site_fract_x
_atom_site_fract_y
_atom_site_fract_z
As1 As 0.0000 0.0000 0.8333
Ba1 Ba 0.6667 0.3333 0.3336
Se1 Se 0.3333 0.6667 0.8331
```

Summary:
space group: No. 187

---

C.
A plane-wave DFT calculation with PBE was carried out for BaAsSe after structural relaxation.

Structure (CIF):
```
data_BaAsSe
_symmetry_space_group_name_H-M 'P 1'
_symmetry_Int_Tables_number 1
_cell_length_a 5.8422
_cell_length_b 5.8422
_cell_length_c 4.5282
_cell_angle_alpha 67.20
_cell_angle_beta 67.20
_cell_angle_gamma 45.60
loop_
_symmetry_equiv_pos_as_xyz
'x,y,z'
loop_
_atom_site_label
_atom_site_type_symbol
_atom_site_fract_x
_atom_site_fract_y
_atom_site_fract_z
As1 As 0.9597 0.9597 0.0403
Se1 Se 0.7148 0.7148 0.2852
Ba1 Ba 0.3255 0.3255 0.6745
```

Summary:
space group: No. 107

---

Short version: B is the least stable of them.